ScHgRh2 | Alexandria via LeMat-Bulk | PBE | relaxed; formation energy from the elements = -0.4001 eV/atom
1.0
5.2518 -0.0155 0.0142
4.2389 3.1006 0.0142
1.5154 0.4926 4.2020
Hg Rh Sc
1 2 1
direct
0.7416 0.7416 0.7973
0.2541 0.2541 0.2916
0.9918 0.9918 0.9572
0.5125 0.5125 0.4539

=====

Ca2CuRh | Alexandria via LeMat-Bulk | PBE | relaxed; formation energy from the elements = 0.0414 eV/atom
1.0
8.5821 0.0779 0.0465
7.7945 3.5923 0.0465
7.7945 1.7468 3.1393
Rh Ca Cu
1 2 1
direct
0.7500 0.7500 0.7500
0.4947 0.4947 0.4947
0.0053 0.0053 0.0053
0.2500 0.2500 0.2500

=====

ZnCd3Ag2 | Alexandria via LeMat-Bulk | PBE | relaxed; formation energy from the elements = 0.0367 eV/atom; distance to the lowest polymorph of the same formula = 0.048 eV/atom
1.0
3.0272 0.0000 0.0000
0.0000 8.2817 -0.4771
-1.5136 -2.6545 9.7712
Cd Zn Ag
6 2 4
direct
0.4337 0.5486 0.8674
0.5663 0.4514 0.1326
0.0662 0.7835 0.1324
0.7084 0.7522 0.4168
0.2916 0.2478 0.5832
0.9338 0.2165 0.8676
0.6651 0.0440 0.3301
0.3349 0.9560 0.6699
0.6942 0.3808 0.3884
0.9311 0.8561 0.8622
0.0689 0.1439 0.1378
0.3058 0.6192 0.6116

=====

NbTcPtRh | Alexandria via LeMat-Bulk | PBE | relaxed; formation energy from the elements = -0.4502 eV/atom
1.0
3.8761 0.0000 0.0000
0.0000 3.9201 0.0000
0.0000 0.0000 4.0375
Pt Tc Rh Nb
1 1 1 1
direct
0.0000 0.0000 0.0000
0.5000 0.0000 0.5000
0.5000 0.5000 0.0000
0.0000 0.5000 0.5000

=====

ScAl | Alexandria via LeMat-Bulk | PBE | relaxed; formation energy from the elements = -0.1562 eV/atom
1.0
-0.8290 -2.8042 0.8334
5.5560 -2.3990 -2.5454
3.8633 1.0656 7.4282
Sc Al
4 4
direct
0.2500 0.5182 0.3118
0.7500 0.9818 0.8118
0.2500 0.0182 0.1882
0.7500 0.4818 0.6882
0.7500 0.8349 0.4699
0.7500 0.3349 0.0301
0.2500 0.1651 0.5301
0.2500 0.6651 0.9699

=====

LiSnGeRu | Alexandria via LeMat-Bulk | PBE | relaxed; formation energy from the elements = -0.1694 eV/atom
1.0
4.5006 0.0000 0.0000
2.2503 3.8976 0.0000
2.2503 1.2992 3.6747
Ge Ru Li Sn
1 1 1 1
direct
0.2500 0.2500 0.2500
0.5000 0.5000 0.5000
0.0000 0.0000 0.0000
0.7500 0.7500 0.7500

=====

AcPu2Os | Alexandria via LeMat-Bulk | PBE | relaxed; formation energy from the elements = 0.0735 eV/atom; distance to the lowest polymorph of the same formula = 0.000 eV/atom
1.0
6.2776 0.0000 0.0000
0.0000 9.0033 0.0000
0.0000 0.0000 15.4449
Os Ac Pu
8 8 16
direct
0.7833 0.7500 0.1842
0.0024 0.7500 0.9332
0.2833 0.2500 0.3158
0.9976 0.2500 0.0668
0.4976 0.7500 0.4332
0.2167 0.2500 0.8158
0.5024 0.2500 0.5668
0.7167 0.7500 0.6842
0.4908 0.7500 0.8631
0.2207 0.7500 0.6085
0.7207 0.2500 0.8915
0.0092 0.7500 0.3631
0.5092 0.2500 0.1369
0.7793 0.2500 0.3915
0.9908 0.2500 0.6369
0.2793 0.7500 0.1085
0.0363 0.0574 0.2126
0.5363 0.5574 0.2874
0.9637 0.5574 0.7874
0.2301 0.0560 0.9596
0.0363 0.4426 0.2126
0.7699 0.9440 0.0404
0.7301 0.9440 0.5404
0.4637 0.4426 0.7126
0.4637 0.0574 0.7126
0.5363 0.9426 0.2874
0.2301 0.4440 0.9596
0.9637 0.9426 0.7874
0.2699 0.0560 0.4596
0.7301 0.5560 0.5404
0.2699 0.4440 0.4596
0.7699 0.5560 0.0404

=====

LiLaPt2 | Alexandria via LeMat-Bulk | PBE | relaxed; formation energy from the elements = -0.8023 eV/atom
1.0
5.2853 -0.0089 -0.0306
1.9538 4.9109 0.0306
-3.6011 -2.4782 2.9708
Li Pt La
1 2 1
direct
0.2497 0.7497 0.5000
0.7501 0.2501 0.5000
0.0001 0.0001 0.0000
0.5000 0.5000 0.0000

=====

Na3CuAg3F8 | Alexandria via LeMat-Bulk | PBE | relaxed; formation energy (no corrections) = -1788 meV/atom
1.0
6.5734 0.0000 0.0000
-3.2867 5.7967 0.1452
0.0000 -3.6696 5.7971
F Na Ag Cu
8 3 3 1
direct
0.7651 0.5301 0.2709
0.2677 0.5354 0.2884
0.2247 0.0298 0.3124
0.2349 0.4699 0.7291
0.7323 0.4646 0.7116
0.7753 0.9702 0.6876
0.8051 0.0298 0.3124
0.1949 0.9702 0.6876
0.5000 0.0000 0.5000
0.5000 0.5000 0.5000
0.0000 0.5000 0.5000
0.0000 0.0000 0.0000
0.5000 0.5000 0.0000
0.0000 0.5000 0.0000
0.0000 0.0000 0.5000

=====

A plane-wave DFT calculation with PBE was carried out for a relaxed structure of TlGa2FeH.

POSCAR file:
```
TlGa2FeH
1.0
4.8530 0.0000 0.0000
0.0000 3.2454 0.0000
0.0000 0.0000 4.8530
Tl Ga Fe H
1 2 1 1
direct
0.5000 0.5000 0.5000
0.0000 0.0000 0.5000
0.5000 0.0000 0.0000
0.0000 0.5000 0.0000
0.0000 0.0000 0.0000
```

=====

Pm2HoEr | Alexandria via LeMat-Bulk | PBE | relaxed; formation energy from the elements = 0.0195 eV/atom; distance to the lowest polymorph of the same formula = 0.005 eV/atom
1.0
3.4304 1.0360 -0.1011
1.4380 7.7648 1.2715
-0.1761 1.5882 10.6342
Er Ho Pm
2 2 4
direct
0.3724 0.6274 0.7457
0.6276 0.3726 0.2543
0.0000 0.5000 0.5000
0.5000 0.0000 0.5000
0.1267 0.8733 0.2535
0.8733 0.1267 0.7465
0.7534 0.7473 0.0000
0.2466 0.2527 0.0000

=====

Th2Al3Ni4 | Alexandria via LeMat-Bulk | PBE | relaxed; formation energy from the elements = -0.5506 eV/atom
1.0
5.6805 0.0000 0.0000
0.0000 6.8200 0.0000
-2.8402 0.0000 7.8099
Al Ni Th
6 8 4
direct
0.0000 0.0000 0.0000
0.4825 0.2500 0.4650
0.9825 0.2500 0.4650
0.5175 0.7500 0.5350
0.0175 0.7500 0.5350
0.5000 0.5000 0.0000
0.1686 0.9841 0.3373
0.6686 0.5159 0.3373
0.6779 0.7500 0.8558
0.3314 0.4841 0.6627
0.3221 0.2500 0.1442
0.8314 0.0159 0.6627
0.8221 0.2500 0.1442
0.1779 0.7500 0.8558
0.8941 0.4160 0.7881
0.1059 0.5840 0.2119
0.6059 0.9160 0.2119
0.3941 0.0840 0.7881

=====

NaTc3Sb | Alexandria via LeMat-Bulk | PBE | relaxed; formation energy (no corrections) = 1747 meV/atom; distance to the lowest polymorph of the same formula = 0.000 eV/atom
1.0
-0.0643 -1.4464 4.7760
-2.0126 -4.3631 -1.3485
4.5663 -1.9435 -0.5271
Na Tc Sb
1 3 1
direct
0.5000 0.5000 0.5000
0.0000 0.0000 0.5000
0.5000 0.0000 0.0000
0.0000 0.5000 0.0000
0.0000 0.0000 0.0000

=====

TiAs3Br | Alexandria via LeMat-Bulk | PBE | relaxed; formation energy (no corrections) = 1158 meV/atom; distance to the lowest polymorph of the same formula = 1.080 eV/atom
1.0
4.9870 0.0000 0.0000
0.0000 4.9870 0.0000
0.0000 0.0000 4.9870
As Ti Br
3 1 1
direct
0.0000 0.0000 0.5000
0.5000 0.0000 0.0000
0.0000 0.5000 0.0000
0.5000 0.5000 0.5000
0.0000 0.0000 0.0000

=====

Ta2CoOs2 | Alexandria via LeMat-Bulk | PBE | relaxed; formation energy from the elements = 0.2066 eV/atom
1.0
-5.6095 -3.9389 2.5964
0.3635 -4.3828 -5.8636
1.9687 -1.8244 1.4857
Ta Os Co
4 4 2
direct
0.1623 0.6623 0.5000
0.8377 0.3377 0.5000
0.3377 0.1623 0.5000
0.6623 0.8377 0.5000
0.6380 0.1380 0.0000
0.3620 0.8620 0.0000
0.8620 0.6380 0.0000
0.1380 0.3620 0.0000
0.5000 0.5000 0.0000
0.0000 0.0000 0.0000

=====

MgCr2Cu | Alexandria via LeMat-Bulk | PBE | relaxed; formation energy from the elements = 0.4709 eV/atom
1.0
4.9642 -0.0041 0.0000
-2.5817 4.2401 0.0000
0.0000 0.0000 2.4871
Mg Cr Cu
1 2 1
direct
0.0000 0.5000 0.5000
0.0000 0.0000 0.0000
0.5000 0.5000 0.0000
0.5000 0.0000 0.5000

=====

Pb2Au | Alexandria via LeMat-Bulk | PBE | relaxed; formation energy from the elements = -0.0178 eV/atom
1.0
-1.3941 -1.7436 3.0521
1.5855 -2.0226 -2.7737
6.0432 0.5337 3.0653
Pb Au
2 1
direct
0.3333 0.6667 0.2948
0.6667 0.3333 0.7052
0.0000 0.0000 0.0000

=====

LiCa2ZnNi | Alexandria via LeMat-Bulk | PBE | relaxed; formation energy from the elements = -0.0392 eV/atom
1.0
-3.3981 -3.2698 -2.5300
2.8936 -4.2201 1.5677
-2.5909 -0.3268 3.9023
Zn Ca Li Ni
1 2 1 1
direct
0.0000 0.0000 0.5000
0.0000 0.5000 0.0000
0.5000 0.0000 0.0000
0.5000 0.5000 0.5000
0.0000 0.0000 0.0000

=====

PrScTlIn | Alexandria via LeMat-Bulk | PBE | relaxed; formation energy from the elements = -0.3643 eV/atom
1.0
-1.1014 5.1849 0.5056
-4.4033 1.5489 2.5621
0.3786 2.3501 4.7630
In Pr Tl Sc
1 1 1 1
direct
0.7500 0.7500 0.7500
0.5000 0.5000 0.5000
0.2500 0.2500 0.2500
0.0000 0.0000 0.0000

=====

ZrMn9Nb2 | Alexandria via LeMat-Bulk | PBE | relaxed; formation energy from the elements = -0.0990 eV/atom
1.0
-2.7391 -0.2035 -3.9282
1.7611 -1.8487 -4.0566
-2.8837 -7.8485 -0.5070
Nb Mn Zr
2 9 1
direct
0.1409 0.1409 0.5772
0.8591 0.8591 0.4228
0.3384 0.3384 0.9849
0.5897 0.5897 0.7477
0.4103 0.4103 0.2523
0.0729 0.5897 0.7477
0.5897 0.0729 0.7477
0.5000 0.5000 0.5000
0.6616 0.6616 0.0151
0.4103 0.9271 0.2523
0.9271 0.4103 0.2523
0.0000 0.0000 0.0000

=====

Cr2CuPt | Alexandria via LeMat-Bulk | PBE | relaxed; formation energy from the elements = 0.6435 eV/atom
1.0
6.7912 0.0000 0.0000
0.0000 6.7912 0.0000
3.3956 3.3956 2.4489
Cr Cu Pt
4 2 2
direct
0.8750 0.8814 0.7500
0.1186 0.6250 0.2500
0.6314 0.1250 0.2500
0.3750 0.3686 0.7500
0.2500 0.7500 0.5000
0.5000 0.5000 0.0000
0.0000 0.0000 0.0000
0.7500 0.2500 0.5000

=====

CsK5Rb2Na2 | Alexandria via LeMat-Bulk | PBE | relaxed; formation energy from the elements = 0.0237 eV/atom
1.0
6.6599 0.0000 0.0000
0.0000 14.8333 0.0000
0.0000 0.0000 14.8333
K Rb Cs Na
10 4 2 4
direct
0.5000 0.7125 0.4246
0.5000 0.5754 0.7125
0.5000 0.9246 0.2125
0.5000 0.4246 0.2875
0.5000 0.2875 0.5754
0.5000 0.5000 0.0000
0.5000 0.0754 0.7875
0.5000 0.2125 0.0754
0.5000 0.7875 0.9246
0.5000 0.0000 0.5000
0.0000 0.1731 0.3269
0.0000 0.8269 0.6731
0.0000 0.3269 0.8269
0.0000 0.6731 0.1731
0.0000 0.0000 0.0000
0.0000 0.5000 0.5000
0.0000 0.6184 0.8816
0.0000 0.3816 0.1184
0.0000 0.8816 0.3816
0.0000 0.1184 0.6184

=====

Y5MgRh4 | Alexandria via LeMat-Bulk | PBE | relaxed; formation energy from the elements = -0.6980 eV/atom
1.0
3.4846 0.0000 0.0000
0.0000 3.4846 0.0000
0.0000 0.0000 17.9056
Rh Y Mg
4 5 1
direct
0.0000 0.0000 0.5951
0.0000 0.0000 0.2125
0.0000 0.0000 0.4049
0.0000 0.0000 0.7875
0.5000 0.5000 0.6896
0.5000 0.5000 0.8762
0.5000 0.5000 0.1238
0.5000 0.5000 0.5000
0.5000 0.5000 0.3104
0.0000 0.0000 0.0000

=====

no.,uncorrected energy (eV/atom)
1,-5.73
2,-3.82
3,-1.58
4,-8.91
5,-5.19
6,-5.12
7,-10.93
8,-5.53
9,-3.89
10,-3.56
11,-4.64
12,-6.02
13,-5.56
14,-3.55
15,-10.45
16,-5.76
17,-3.58
18,-2.63
19,-4.42
20,-9.37
21,-6.70
22,-1.07
23,-7.03